1.
# Na3MgU2N6

A relaxed Na3MgU2N6 crystal (PBE-GGA, the Alexandria database).

Properties
- space-group type = No. 12
- E_tot (eV per atom) = -7.3205

a = 5.8305 Å, b = 5.8305 Å, c = 6.0424 Å
α = 100.55°, β = 100.55°, γ = 117.98°
Positions (direct):
Na (0.0000, 0.0000, 0.0000)
Na (0.3396, 0.6604, 0.0000)
Na (0.6604, 0.3396, 0.0000)
Mg (0.5000, 0.5000, 0.5000)
U (0.1689, 0.8311, 0.5000)
U (0.8311, 0.1689, 0.5000)
N (0.0875, 0.4442, 0.3126)
N (0.2036, 0.2036, 0.6945)
N (0.4442, 0.0875, 0.3126)
N (0.5558, 0.9125, 0.6874)
N (0.7964, 0.7964, 0.3055)
N (0.9125, 0.5558, 0.6874)


2.
# K3Tb3ReO8

A relaxed K3Tb3ReO8 crystal (PBE-GGA, the Alexandria database).

Properties
- space-group type = No. 166
- E_tot (eV per atom) = -7.0633

a = 7.4201 Å, b = 7.4201 Å, c = 7.4201 Å
α = 54.73°, β = 54.73°, γ = 54.73°
Positions (direct):
K (0.0000, 0.5000, 0.5000)
K (0.5000, 0.0000, 0.5000)
K (0.5000, 0.5000, 0.0000)
Tb (0.0000, 0.0000, 0.5000)
Tb (0.0000, 0.5000, 0.0000)
Tb (0.5000, 0.0000, 0.0000)
Re (0.5000, 0.5000, 0.5000)
O (0.2279, 0.2279, 0.2279)
O (0.2520, 0.7108, 0.7108)
O (0.2892, 0.2892, 0.7480)
O (0.2892, 0.7480, 0.2892)
O (0.7108, 0.2520, 0.7108)
O (0.7108, 0.7108, 0.2520)
O (0.7480, 0.2892, 0.2892)
O (0.7721, 0.7721, 0.7721)


Asked for formation energy without anion corrections across the records above, the calculation gives -0.81 -2.44 eV per atom in order.